[1]
# Mg5As

An optimized crystal structure of Mg5As (GGA-PBE, Alexandria).

Raw total energy in eV/atom: -2.18
E_form in eV per formula unit: -0.460
M_tot in μB/f.u.: 0.00

Cell lengths 3.3418, 3.3418, 11.9215 Å; angles 90.00, 90.00, 90.00 degrees
With the nearest neighbours (Å) after each atom.
Fractional coordinates of all 6 atoms:
1 Mg 0.5000 0.5000 0.3222  12 Mg 3.17-3.34
2 Mg 0.0000 0.0000 0.5000  12 Mg 3.17-3.34
3 Mg 0.0000 0.0000 0.8609  4 As 2.89, 4 Mg 3.22
4 Mg 0.5000 0.5000 0.6778  12 Mg 3.17-3.34
5 Mg 0.0000 0.0000 0.1391  4 As 2.89, 4 Mg 3.22
6 As 0.5000 0.5000 0.0000  8 Mg 2.89


[2]
# K4Ac3BiO8

An optimized crystal structure of K4Ac3BiO8 (GGA-PBE, Alexandria).

Raw formation energy in eV/atom: -2.26
Raw total energy in eV/atom: -6.02
M_tot in μB/f.u.: 0.00

Cell lengths 7.6006, 7.7268, 7.6004 Å; angles 119.47, 120.00, 90.00 degrees
With the nearest neighbours (Å) after each atom.
Fractional coordinates of all 16 atoms:
1 O 0.2297 0.6984 0.9687  1 Bi 2.50, 2 Ac 2.55
2 O 0.7390 0.6984 0.9687  1 Bi 2.50, 2 Ac 2.55
3 O 0.2610 0.3016 0.0313  1 Bi 2.50, 2 Ac 2.55
4 O 0.2683 0.3049 0.5365  3 Ac 2.52
5 O 0.7703 0.3016 0.0313  1 Bi 2.50, 2 Ac 2.55
6 O 0.7703 0.3016 0.5405  1 Bi 2.50, 2 Ac 2.55
7 O 0.2297 0.6984 0.4595  1 Bi 2.50, 2 Ac 2.55
8 O 0.7317 0.6951 0.4635  3 Ac 2.52
9 K 0.0000 0.0000 0.5000  6 O 2.90-2.93
10 K 0.5000 0.0000 0.0000  6 O 2.94-2.95
11 K 0.5000 0.0000 0.5000  6 O 2.90-2.93
12 K 0.0000 0.0000 0.0000  6 O 2.90-2.93
13 Ac 0.0000 0.5000 0.5000  6 O 2.52-2.55
14 Ac 0.5000 0.5000 0.5000  6 O 2.52-2.55
15 Ac 0.5000 0.5000 0.0000  6 O 2.52-2.55
16 Bi 0.0000 0.5000 0.0000  6 O 2.50


[3]
# ScTl3P

An optimized crystal structure of ScTl3P (GGA-PBE, Alexandria).

Raw total energy in eV/atom: -3.23
E_form in eV per formula unit: 2.711
M_tot in μB/f.u.: 0.00

Cell lengths 5.2766, 5.2766, 5.2766 Å; angles 90.00, 90.00, 90.00 degrees
With the nearest neighbours (Å) after each atom.
Fractional coordinates of all 5 atoms:
1 Tl 0.0000 0.0000 0.5000  2 P 2.64
2 Tl 0.0000 0.5000 0.0000  2 P 2.64
3 Tl 0.5000 0.0000 0.0000  2 P 2.64
4 Sc 0.5000 0.5000 0.5000  12 Tl 3.73
5 P 0.0000 0.0000 0.0000  6 Tl 2.64